Entry 1:
The following is a DFT calculation (PBE-GGA) of a relaxed structure of Co3AsS.

- E_tot: -25.64 eV/cell
- Formation energy from raw total energies: 0.892 eV/atom
- Crystal system: cubic
- N(E_F): 1.968 states/eV/atom
- Offset from the most stable computed form: 276 kJ/mol of formula units

Unit cell a=4.3587 b=4.3587 c=4.3587 alpha=90.00 beta=90.00 gamma=90.00
Closest atoms and distances in Å follow each position.
Space group Pm-3m (No. 221)
Inequivalent atoms, fractional coordinates:
Co 0.0000 0.0000 0.5000 (multiplicity 3)  2 As 2.18
As 0.0000 0.0000 0.0000 (multiplicity 1)  6 Co 2.18
S 0.5000 0.5000 0.5000 (multiplicity 1)  12 Co 3.08

Entry 2:
The following is a DFT calculation (PBE-GGA) of a relaxed structure of CoAsS.

- E_tot: -33.74 eV/cell
- Formation energy from raw total energies: -0.329 eV/atom
- Crystal system: monoclinic
- N(E_F): 0.486 states/eV/atom
- Offset from the most stable computed form: 34 kJ/mol of formula units

Unit cell a=4.8127 b=3.3694 c=5.6394 alpha=90.00 beta=94.50 gamma=90.00
Closest atoms and distances in Å follow each position.
Space group P2/m (No. 10)
Inequivalent atoms, fractional coordinates:
Co 0.0000 0.0000 0.0000 (multiplicity 1)  4 S 2.25, 2 As 2.35
Co 0.5000 0.5000 0.5000 (multiplicity 1)  2 S 2.22, 4 As 2.36
As 0.2077 0.0000 0.6369 (multiplicity 2)  3 Co 2.35-2.36, 1 As 2.43
S 0.2765 0.5000 0.1398 (multiplicity 2)  3 Co 2.22-2.25

Entry 3:
The following is a DFT calculation (PBE-GGA) of a relaxed structure of CoAs3S.

- E_tot: -19.62 eV/cell
- Formation energy from raw total energies: 1.113 eV/atom
- Crystal system: cubic
- N(E_F): 1.021 states/eV/atom
- Offset from the most stable computed form: 287 kJ/mol of formula units

Unit cell a=4.7249 b=4.7249 c=4.7249 alpha=90.00 beta=90.00 gamma=90.00
Closest atoms and distances in Å follow each position.
Space group Pm-3m (No. 221)
Inequivalent atoms, fractional coordinates:
Co 0.0000 0.0000 0.0000 (multiplicity 1)  12 As 3.34
As 0.0000 0.5000 0.5000 (multiplicity 3)  2 S 2.36
S 0.5000 0.5000 0.5000 (multiplicity 1)  6 As 2.36

Entry 4:
The following is a DFT calculation (PBE-GGA) of a relaxed structure of CoAsS3.

- E_tot: -21.66 eV/cell
- Formation energy from raw total energies: 0.495 eV/atom
- Crystal system: cubic
- N(E_F): 1.102 states/eV/atom
- Offset from the most stable computed form: 0 kJ/mol of formula units

Unit cell a=4.4068 b=4.4068 c=4.4068 alpha=90.00 beta=90.00 gamma=90.00
Closest atoms and distances in Å follow each position.
Space group Pm-3m (No. 221)
Inequivalent atoms, fractional coordinates:
Co 0.0000 0.0000 0.0000 (multiplicity 1)  6 S 2.20
As 0.5000 0.5000 0.5000 (multiplicity 1)  12 S 3.12
S 0.0000 0.0000 0.5000 (multiplicity 3)  2 Co 2.20